(1)
# Nb2Pd2RhSe6

Nb2Pd2RhSe6 after structural relaxation (PBE, Alexandria via LeMat-Bulk).

CIF file:
```
data_Nb2Pd2RhSe6
_chemical_formula_sum 'Nb4 Pd4 Rh2 Se12'
_cell_length_a 6.014
_cell_length_b 11.396
_cell_length_c 6.392
_cell_angle_alpha 90.00
_cell_angle_beta 95.72
_cell_angle_gamma 90.00
_space_group_name_H-M_alt 'C 1 2/m 1'
_space_group_IT_number 12
_space_group_name_Hall '-C 2y'
loop_
_atom_site_label
_atom_site_type_symbol
_atom_site_fract_x
_atom_site_fract_y
_atom_site_fract_z
Nb1 Nb 0.000 0.129 0.000
Pd1 Pd 0.000 0.157 0.500
Rh1 Rh 0.000 0.500 0.000
Se1 Se 0.166 0.329 0.223
Se2 Se 0.216 0.000 0.287
```

Results
- Final energy: -5.857 eV per atom
- Raw formation energy: -0.51 eV/atom
- Density: 7.4 g/cm3
- Spin magnetization: 0.0 Bohr magnetons per cell

---

(2)
# Nb2TePdRh

Nb2TePdRh after structural relaxation (PBE, Alexandria via LeMat-Bulk).

CIF file:
```
data_Nb2TePdRh
_chemical_formula_sum 'Nb2 Te1 Pd1 Rh1'
_cell_length_a 4.798
_cell_length_b 4.798
_cell_length_c 4.927
_cell_angle_alpha 90.00
_cell_angle_beta 90.00
_cell_angle_gamma 90.00
_space_group_name_H-M_alt 'P 4/m m m'
_space_group_IT_number 123
_space_group_name_Hall '-P 4 2'
loop_
_atom_site_label
_atom_site_type_symbol
_atom_site_fract_x
_atom_site_fract_y
_atom_site_fract_z
Nb1 Nb 0.000 0.500 0.000
Te1 Te 0.000 0.000 0.500
Pd1 Pd 0.500 0.500 0.000
Rh1 Rh 0.500 0.500 0.500
```

Results
- Final energy: -6.109 eV per atom
- Raw formation energy: 1.06 eV/atom
- Density: 7.7 g/cm3
- Spin magnetization: 0.0 Bohr magnetons per cell